A plane-wave DFT calculation with PBE was carried out for a relaxed Na3U2CuS6 crystal.

Summary:
For the total energy, the calculation gives -0.4250 Ry per atom. As for the space-group type: C2/m (12).

Unit cell a=6.726 b=6.726 c=7.053 alpha=99.11 beta=99.11 gamma=120.00
Element x y z (fractional)
Na1 0.000 0.000 0.000
Na2 0.337 0.663 0.000
Na3 0.663 0.337 0.000
U1 0.167 0.833 0.500
U2 0.833 0.167 0.500
Cu1 0.500 0.500 0.500
S1 0.092 0.425 0.276
S2 0.242 0.242 0.723
S3 0.425 0.092 0.276
S4 0.575 0.908 0.724
S5 0.758 0.758 0.277
S6 0.908 0.575 0.724